# 1
# LiLaSn2

LiLaSn2 after structural relaxation (PBE-GGA, the Alexandria database).

Calculated values
Calculated formation energy ... -0.5926 eV/atom
Crystal system ... tetragonal
Uncorrected energy ... -17.22 eV for the cell shown

Unit cell a=4.7455 b=4.7455 c=4.6672 alpha=90.00 beta=90.00 gamma=90.00
Closest atoms and distances in Å follow each position.
Space group P4/mmm (No. 123)
Asymmetric unit:
1 Li 0.0000 0.0000 0.0000 (multiplicity 1)  8 Sn 3.33, 4 La 3.36
2 La 0.5000 0.5000 0.0000 (multiplicity 1)  8 Sn 3.33, 4 Li 3.36
3 Sn 0.0000 0.5000 0.5000 (multiplicity 2)  4 La 3.33, 4 Li 3.33, 4 Sn 3.36

---

# 2
# Hf2MoI

Hf2MoI after structural relaxation (PBE-GGA, the Alexandria database).

Calculated values
ΔE_f (raw) ... 1.065 eV/atom
Crystal system ... tetragonal
Offset from the most stable computed form ... 564 meV per atom
Uncorrected energy ... -112.11 eV for the cell shown

Unit cell a=5.9225 b=5.9225 c=14.0475 alpha=90.00 beta=90.00 gamma=90.00
Closest atoms and distances in Å follow each position.
Space group I-42d (No. 122)
Asymmetric unit:
1 Hf 0.1619 0.2500 0.1250 (multiplicity 8)  2 Mo 2.49
2 Mo 0.0000 0.0000 0.0000 (multiplicity 4)  4 Hf 2.49
3 I 0.0000 0.0000 0.5000 (multiplicity 4)  4 Hf 3.05

---

# 3
# TmNpS2N

TmNpS2N after structural relaxation (PBE-GGA, the Alexandria database).

Calculated values
ΔE_f (raw) ... -1.659 eV/atom
Crystal system ... tetragonal
Uncorrected energy ... -84.58 eV for the cell shown

Unit cell a=3.7867 b=3.7867 c=13.6254 alpha=90.00 beta=90.00 gamma=90.00
Closest atoms and distances in Å follow each position.
Space group P4/nmm (No. 129, origin choice 2)
Asymmetric unit:
1 Tm 0.2500 0.2500 0.1186 (multiplicity 2)  5 S 2.56-2.70
2 Np 0.2500 0.2500 0.5869 (multiplicity 2)  4 N 2.23
3 S 0.2500 0.2500 0.3066 (multiplicity 2)  1 Tm 2.56
4 S 0.2500 0.2500 0.9081 (multiplicity 2)  5 Tm 2.70-2.87
5 N 0.2500 0.7500 0.5000 (multiplicity 2)  4 Np 2.23

---

# 4
# ZrZn5Au6

ZrZn5Au6 after structural relaxation (PBE-GGA, the Alexandria database).

Calculated values
Calculated formation energy ... -0.2630 eV/atom
Crystal system ... monoclinic
Uncorrected energy ... -37.74 eV for the cell shown

Unit cell a=4.6041 b=6.4798 c=7.2032 alpha=90.00 beta=107.89 gamma=90.00
Closest atoms and distances in Å follow each position.
Space group P2/m (No. 10)
Asymmetric unit:
1 Zr 0.0000 0.0000 0.0000 (multiplicity 1)  8 Au 2.88-2.89, 4 Zn 3.16-3.20
2 Zn 0.0000 0.5000 0.0000 (multiplicity 1)  8 Au 2.76-2.88
3 Zn 0.3350 0.5000 0.6731 (multiplicity 2)  8 Au 2.71-2.81
4 Zn 0.3413 0.0000 0.6802 (multiplicity 2)  8 Au 2.79-2.84
5 Au 0.1740 0.2523 0.3480 (multiplicity 4)  7 Zn 2.75-2.88, 1 Zr 2.89
6 Au 0.5000 0.2660 0.0000 (multiplicity 2)  6 Zn 2.71-2.79, 2 Zr 2.88

---

# 5
# NaBeRe2Hg

NaBeRe2Hg after structural relaxation (PBE-GGA, the Alexandria database).

Calculated values
Calculated formation energy ... 1.1667 eV/atom
Crystal system ... tetragonal
Uncorrected energy ... -24.41 eV for the cell shown

Unit cell a=4.2388 b=4.2388 c=4.7227 alpha=90.00 beta=90.00 gamma=90.00
Closest atoms and distances in Å follow each position.
Space group P4/mmm (No. 123)
Asymmetric unit:
1 Na 0.0000 0.0000 0.0000 (multiplicity 1)  4 Hg 3.00, 8 Re 3.17
2 Be 0.5000 0.5000 0.5000 (multiplicity 1)  4 Re 2.12, 2 Hg 2.36
3 Re 0.0000 0.5000 0.5000 (multiplicity 2)  2 Be 2.12
4 Hg 0.5000 0.5000 0.0000 (multiplicity 1)  2 Be 2.36

---

# 6
# PmAs2Rh5Au

PmAs2Rh5Au after structural relaxation (PBE-GGA, the Alexandria database).

Calculated values
Calculated formation energy ... -0.3135 eV/atom
Crystal system ... tetragonal
Uncorrected energy ... -56.91 eV for the cell shown

Unit cell a=4.2366 b=4.2366 c=8.7362 alpha=90.00 beta=90.00 gamma=90.00
Closest atoms and distances in Å follow each position.
Space group P4/mmm (No. 123)
Asymmetric unit:
1 Pm 0.0000 0.0000 0.0000 (multiplicity 1)  12 Rh 2.97-3.00
2 As 0.5000 0.5000 0.3597 (multiplicity 2)  4 Rh 2.37, 1 As 2.45
3 Rh 0.0000 0.5000 0.2385 (multiplicity 4)  2 As 2.37
4 Rh 0.5000 0.5000 0.0000 (multiplicity 1)  8 Rh 2.97, 4 Pm 3.00, 2 As 3.14
5 Au 0.0000 0.0000 0.5000 (multiplicity 1)  8 Rh 3.12, 8 As 3.24